No. 1
Fe2ReSi (PBEsol, optimized geometry); SG = No. 6; VASP energy = -9.32 eV/atom; calculated volume = 48 Å³/cell; calculated density = 11.26 g cm⁻³; N(E_F) = 0.95 states/eV per atom
1.0
2.605 0.000 0.000
0.000 3.960 0.000
-0.651 0.000 4.661
Fe Re Si
2 1 1
Direct
0.000 0.000 0.000
0.280 0.500 0.779
0.699 0.500 0.278
0.296 0.000 0.519

=====

No. 2
FeRe3Si (PBEsol, optimized geometry); SG = No. 221; VASP energy = -9.45 eV/atom; calculated volume = 82 Å³/cell; calculated density = 13.08 g cm⁻³; N(E_F) = 0.79 states/eV per atom
1.0
4.337 0.000 0.000
0.000 4.337 0.000
0.000 0.000 4.337
Fe Re Si
1 3 1
Direct
0.000 0.000 0.000
0.000 0.500 0.500
0.500 0.000 0.500
0.500 0.500 0.000
0.500 0.500 0.500

=====

No. 3
SrFe3Re (PBEsol, optimized geometry); SG = No. 221; VASP energy = -5.56 eV/atom; energy of formation from the pure elements = 2.8549 eV/atom; calculated volume = 85 Å³/cell; calculated density = 8.60 g cm⁻³; N(E_F) = 1.86 states/eV per atom
1.0
4.400 0.000 0.000
0.000 4.400 0.000
0.000 0.000 4.400
Sr Fe Re
1 3 1
Direct
0.000 0.000 0.000
0.000 0.000 0.500
0.000 0.500 0.000
0.500 0.000 0.000
0.500 0.500 0.500

=====

No. 4
Sr2FeRe (PBEsol, optimized geometry); SG = No. 12; VASP energy = -5.11 eV/atom; energy of formation from the pure elements = 1.3850 eV/atom; calculated volume = 86 Å³/cell; calculated density = 8.09 g cm⁻³; distance to the lowest polymorph of the same formula = 0.765 eV per atom; N(E_F) = 0.98 states/eV per atom
1.0
5.025 -1.414 0.000
5.025 1.414 0.000
-0.405 0.000 6.023
Sr Fe Re
2 1 1
Direct
0.247 0.247 0.251
0.753 0.753 0.749
0.000 0.000 0.500
0.500 0.500 0.000

=====

No. 5
Sr2FeRe (PBEsol, optimized geometry); SG = No. 65; VASP energy = -5.24 eV/atom; energy of formation from the pure elements = 1.2590 eV/atom; calculated volume = 86 Å³/cell; calculated density = 8.08 g cm⁻³; distance to the lowest polymorph of the same formula = 0.639 eV per atom; N(E_F) = 0.95 states/eV per atom
1.0
3.056 -4.877 0.000
3.056 4.877 0.000
0.000 0.000 2.878
Sr Fe Re
2 1 1
Direct
0.000 0.500 0.000
0.500 0.000 0.000
0.000 0.000 0.500
0.500 0.500 0.500

=====

No. 6
Sr2FeRe (PBEsol, optimized geometry); SG = No. 6; VASP energy = -5.87 eV/atom; energy of formation from the pure elements = 0.6201 eV/atom; calculated volume = 96 Å³/cell; calculated density = 7.22 g cm⁻³; distance to the lowest polymorph of the same formula = 0.000 eV per atom; N(E_F) = 1.19 states/eV per atom
1.0
3.208 0.000 0.000
0.000 3.239 0.000
-0.404 0.000 9.239
Sr Fe Re
2 1 1
Direct
0.000 0.000 0.000
0.422 0.500 0.401
0.952 0.000 0.650
0.466 0.500 0.741

=====

No. 7
Ta4FeRe (PBEsol, optimized geometry); SG = No. 216; VASP energy = -11.48 eV/atom; energy of formation from the pure elements = 0.5991 eV/atom; calculated volume = 103 Å³/cell; calculated density = 15.63 g cm⁻³; N(E_F) = 0.78 states/eV per atom
1.0
0.000 3.716 3.716
3.716 0.000 3.716
3.716 3.716 0.000
Ta Fe Re
4 1 1
Direct
0.376 0.376 0.376
0.376 0.376 0.873
0.376 0.873 0.376
0.873 0.376 0.376
0.000 0.000 0.000
0.750 0.750 0.750

=====

No. 8
FeRe2Tc (PBEsol, optimized geometry); SG = No. 123; VASP energy = -11.66 eV/atom; energy of formation from the pure elements = 0.0670 eV/atom; calculated volume = 53 Å³/cell; calculated density = 16.40 g cm⁻³; distance to the lowest polymorph of the same formula = 0.005 eV per atom; N(E_F) = 1.10 states/eV per atom
1.0
2.676 0.000 0.000
0.000 2.676 0.000
0.000 0.000 7.445
Fe Re Tc
1 2 1
Direct
0.000 0.000 0.000
0.500 0.500 0.233
0.500 0.500 0.767
0.000 0.000 0.500

=====

No. 9
Fe2ReTc (PBEsol, optimized geometry); SG = No. 123; VASP energy = -10.59 eV/atom; energy of formation from the pure elements = 0.0379 eV/atom; calculated volume = 48 Å³/cell; calculated density = 13.58 g cm⁻³; N(E_F) = 1.02 states/eV per atom
1.0
3.682 0.000 0.000
0.000 3.682 0.000
0.000 0.000 3.570
Fe Re Tc
2 1 1
Direct
0.000 0.500 0.000
0.500 0.000 0.000
0.000 0.000 0.500
0.500 0.500 0.500

=====

No. 10
Fe2ReTc (PBEsol, optimized geometry); SG = No. 139; VASP energy = -10.59 eV/atom; energy of formation from the pure elements = 0.0384 eV/atom; calculated volume = 48 Å³/cell; calculated density = 13.58 g cm⁻³; N(E_F) = 1.03 states/eV per atom
1.0
-1.840 1.840 3.575
1.840 -1.840 3.575
1.840 1.840 -3.575
Fe Re Tc
2 1 1
Direct
0.250 0.750 0.500
0.750 0.250 0.500
0.000 0.000 0.000
0.500 0.500 0.000

=====

No. 11
Fe2ReTc (PBEsol, optimized geometry); SG = No. 99; VASP energy = -10.53 eV/atom; energy of formation from the pure elements = 0.0965 eV/atom; calculated volume = 50 Å³/cell; calculated density = 13.04 g cm⁻³; N(E_F) = 0.80 states/eV per atom
1.0
2.859 0.000 0.000
0.000 2.859 0.000
0.000 0.000 6.169
Fe Re Tc
2 1 1
Direct
0.000 0.000 0.000
0.500 0.500 0.209
0.000 0.000 0.464
0.500 0.500 0.747

=====

No. 12
FeReTc2 (PBEsol, optimized geometry); SG = No. 44; VASP energy = -11.03 eV/atom; energy of formation from the pure elements = 0.1740 eV/atom; calculated volume = 54 Å³/cell; calculated density = 13.43 g cm⁻³; N(E_F) = 0.95 states/eV per atom
1.0
-1.501 2.105 4.286
1.501 -2.105 4.286
1.501 2.105 -4.286
Fe Re Tc
1 1 2
Direct
0.000 0.000 0.000
0.236 0.736 0.500
0.498 0.498 0.000
0.761 0.261 0.500